# 1
# CsTbFeBr6 GGA-PBE relaxed
data_CsTbFeBr6
_chemical_formula_sum 'Cs2 Tb2 Fe2 Br12'
_space_group_name_H-M_alt 'C 1 2 1'
_space_group_IT_number 5
_space_group_name_Hall 'C 2y'
_cell_length_a 7.135
_cell_length_b 12.360
_cell_length_c 8.184
_cell_angle_alpha 90.00
_cell_angle_beta 90.11
_cell_angle_gamma 90.00
loop_
_atom_site_label
_atom_site_fract_x
_atom_site_fract_y
_atom_site_fract_z
Cs1 0.000 0.000 0.000
Tb1 0.000 0.334 0.500
Fe1 0.000 0.667 0.500
Br1 0.123 0.509 0.694
Br2 0.174 0.808 0.692
Br3 0.201 0.182 0.692
# Spin magnetization = 8.000 μB/cell
# Energy relative to the elements, uncorrected = -1.372 eV/atom
# V = 721.7 Å³ per cell
# Crystal system = monoclinic

# 2
# CsTbFe2Br8 GGA-PBE relaxed
data_CsTbFe2Br8
_chemical_formula_sum 'Cs2 Tb2 Fe4 Br16'
_space_group_name_H-M_alt 'C 1 2/m 1'
_space_group_IT_number 12
_space_group_name_Hall '-C 2y'
_cell_length_a 11.390
_cell_length_b 7.777
_cell_length_c 10.586
_cell_angle_alpha 90.00
_cell_angle_beta 97.23
_cell_angle_gamma 90.00
loop_
_atom_site_label
_atom_site_fract_x
_atom_site_fract_y
_atom_site_fract_z
Cs1 0.000 0.000 0.000
Tb1 0.000 0.000 0.500
Fe1 0.118 0.500 0.294
Br1 0.019 0.251 0.697
Br2 0.186 0.500 0.093
Br3 0.248 0.000 0.505
# Spin magnetization = 16.000 μB/cell
# Energy relative to the elements, uncorrected = -1.101 eV/atom
# V = 930.2 Å³ per cell
# Crystal system = monoclinic

# 3
# Cs2FeTcBr6 GGA-PBE relaxed
data_Cs2FeTcBr6
_chemical_formula_sum 'Cs4 Fe2 Tc2 Br12'
_space_group_name_H-M_alt 'I 4/m m m'
_space_group_IT_number 139
_space_group_name_Hall '-I 4 2'
_cell_length_a 7.705
_cell_length_b 7.705
_cell_length_c 10.804
_cell_angle_alpha 90.00
_cell_angle_beta 90.00
_cell_angle_gamma 90.00
loop_
_atom_site_label
_atom_site_fract_x
_atom_site_fract_y
_atom_site_fract_z
Cs1 0.000 0.500 0.250
Fe1 0.000 0.000 0.000
Tc1 0.000 0.000 0.500
Br1 0.000 0.000 0.241
Br2 0.247 0.247 0.000
# Spin magnetization = 2.000 μB/cell
# Energy relative to the elements, uncorrected = -0.797 eV/atom
# V = 641.4 Å³ per cell
# Crystal system = tetragonal

# 4
# Cs2FeTeBr6 GGA-PBE relaxed
data_Cs2FeTeBr6
_chemical_formula_sum 'Cs4 Fe2 Te2 Br12'
_space_group_name_H-M_alt 'I 4/m m m'
_space_group_IT_number 139
_space_group_name_Hall '-I 4 2'
_cell_length_a 8.122
_cell_length_b 8.122
_cell_length_c 11.168
_cell_angle_alpha 90.00
_cell_angle_beta 90.00
_cell_angle_gamma 90.00
loop_
_atom_site_label
_atom_site_fract_x
_atom_site_fract_y
_atom_site_fract_z
Cs1 0.000 0.500 0.250
Fe1 0.000 0.000 0.000
Te1 0.000 0.000 0.500
Br1 0.000 0.000 0.250
Br2 0.219 0.219 0.000
# Spin magnetization = 4.891 μB/cell
# Energy relative to the elements, uncorrected = -0.870 eV/atom
# V = 736.8 Å³ per cell
# Crystal system = tetragonal

# 5
# CsTlFe2Br6 GGA-PBE relaxed
data_CsTlFe2Br6
_chemical_formula_sum 'Cs4 Tl4 Fe8 Br24'
_space_group_name_H-M_alt 'C 1 2/c 1'
_space_group_IT_number 15
_space_group_name_Hall '-C 2yc'
_cell_length_a 14.733
_cell_length_b 14.197
_cell_length_c 7.697
_cell_angle_alpha 90.00
_cell_angle_beta 103.27
_cell_angle_gamma 90.00
loop_
_atom_site_label
_atom_site_fract_x
_atom_site_fract_y
_atom_site_fract_z
Cs1 0.000 0.184 0.250
Tl1 0.000 0.395 0.750
Fe1 0.214 0.083 0.762
Br1 0.119 0.416 0.173
Br2 0.146 0.026 0.012
Br3 0.154 0.238 0.681
# Spin magnetization = 32.000 μB/cell
# Energy relative to the elements, uncorrected = -0.780 eV/atom
# V = 1567.0 Å³ per cell
# Crystal system = monoclinic

# 6
# Cs2TlFeBr6 GGA-PBE relaxed
data_Cs2TlFeBr6
_chemical_formula_sum 'Cs2 Tl1 Fe1 Br6'
_space_group_name_H-M_alt 'P -3 m 1'
_space_group_IT_number 164
_space_group_name_Hall '-P 3 2"'
_cell_length_a 7.7351
_cell_length_b 7.7351
_cell_length_c 8.0251
_cell_angle_alpha 90.00
_cell_angle_beta 90.00
_cell_angle_gamma 120.00
loop_
_atom_site_label
_atom_site_fract_x
_atom_site_fract_y
_atom_site_fract_z
Cs1 0.3333 0.6667 0.1667
Tl1 0.0000 0.0000 0.5000
Fe1 0.0000 0.0000 0.0000
Br1 0.1512 0.3023 0.8227
# Spin magnetization = 0.969 μB/cell
# Energy relative to the elements, uncorrected = -1.001 eV/atom
# V = 415.8 Å³ per cell
# Crystal system = trigonal